(1)
Density functional theory data (PBE) for an optimized crystal structure of LaP2Ir.

Cell lengths 3.503, 3.503, 6.261 Å; angles 90.00, 90.00, 90.00 degrees
Space group P4mm (No. 99)
Inequivalent atoms, fractional coordinates:
1 La 0.000 0.000 0.000 (multiplicity 1)
2 P 0.000 0.000 0.502 (multiplicity 1)
3 P 0.500 0.500 0.236 (multiplicity 1)
4 Ir 0.500 0.500 0.609 (multiplicity 1)

## Properties
E_form	-368	meV per atom
total energy	-26.08	eV per cell
calculated volume	76.81	Å³ per cell



(2)
Density functional theory data (PBE) for an optimized crystal structure of AsC3.

Cell lengths 2.540, 4.546, 8.707 Å; angles 90.00, 90.00, 90.00 degrees
Space group Immm (No. 71)
Inequivalent atoms, fractional coordinates:
1 As 0.000 0.000 0.000 (multiplicity 2)
2 C 0.000 0.000 0.500 (multiplicity 2)
3 C 0.000 0.500 0.106 (multiplicity 4)

## Properties
E_form	2279	meV per atom
total energy	-46.41	eV per cell
calculated volume	100.55	Å³ per cell
energy relative to the lowest polymorph listed for this composition	1.517	eV per atom



(3)
Density functional theory data (PBE) for an optimized crystal structure of Rb2PrZrSe4.

Cell lengths 7.276, 4.156, 8.405 Å; angles 90.00, 106.37, 90.00 degrees
Space group P2/m (No. 10)
Inequivalent atoms, fractional coordinates:
1 Rb 0.000 0.000 0.000 (multiplicity 1)
2 Rb 0.500 0.500 0.000 (multiplicity 1)
3 Pr 0.000 0.500 0.500 (multiplicity 1)
4 Zr 0.500 0.000 0.500 (multiplicity 1)
5 Se 0.255 0.000 0.702 (multiplicity 2)
6 Se 0.288 0.500 0.306 (multiplicity 2)

## Properties
total energy	-41.03	eV per cell
calculated volume	243.87	Å³ per cell
formation energy from raw total energies	-1.479	eV/atom



Question: Which value of calculated volume does entry 1 give?
Answer: 76.81 Å³ per cell